VASP calculation (PBE) on a relaxed YErCu2Ge2 crystal.

The structure belongs to space group P3m1 (No. 156); the cell edges are 4.2250, 4.2250 and 7.3619 Å and the angles 90.00°, 90.00° and 120.00°. The asymmetric unit holds Y at (0.0000, 0.0000, 0.0000), Er at (0.0000, 0.0000, 0.5000), Cu at (0.3333, 0.6667, 0.7306), Cu at (0.6667, 0.3333, 0.2312), Ge at (0.3333, 0.6667, 0.2658) and Ge at (0.6667, 0.3333, 0.7652).

Its total energy is -5.305 eV/atom.

=====

VASP calculation (PBE) on a relaxed Y2ErCu4Ge4 crystal.

The structure belongs to space group Immm (No. 71); the cell edges are 4.190, 6.643 and 13.892 Å and the angles 90.00°, 90.00° and 90.00°. The asymmetric unit holds Y at (0.000, 0.000, 0.129), Er at (0.000, 0.500, 0.000), Cu at (0.000, 0.190, 0.330), Ge at (0.000, 0.307, 0.500) and Ge at (0.000, 0.500, 0.216).

Its total energy is -5.254 eV/atom.

=====

VASP calculation (PBE) on a relaxed ErHf2Cu4Si4 crystal.

The structure belongs to space group Immm (No. 71); the cell edges are 3.928, 6.483 and 13.105 Å and the angles 90.00°, 90.00° and 90.00°. The asymmetric unit holds Er at (0.000, 0.000, 0.000), Hf at (0.000, 0.500, 0.124), Cu at (0.000, 0.307, 0.329), Si at (0.000, 0.000, 0.220) and Si at (0.000, 0.184, 0.500).

Its total energy is -6.103 eV/atom.

=====

VASP calculation (PBE) on a relaxed Er2HfCu4Si4 crystal.

The structure belongs to space group Immm (No. 71); the cell edges are 4.071, 6.384 and 13.348 Å and the angles 90.00°, 90.00° and 90.00°. The asymmetric unit holds Er at (0.000, 0.000, 0.128), Hf at (0.000, 0.500, 0.000), Cu at (0.000, 0.192, 0.330), Si at (0.000, 0.304, 0.500) and Si at (0.000, 0.500, 0.212).

Its total energy is -5.645 eV/atom.

=====

VASP calculation (PBE) on a relaxed ErCuHgS3 crystal.

The structure belongs to space group Cmcm (No. 63); the cell edges are 3.814, 12.442 and 10.363 Å and the angles 90.00°, 90.00° and 90.00°. The asymmetric unit holds Er at (0.000, 0.000, 0.000), Cu at (0.000, 0.473, 0.250), Hg at (0.000, 0.245, 0.750), S at (0.000, 0.091, 0.250) and S at (0.000, 0.361, 0.075).

Its total energy is -4.305 eV/atom.

=====

VASP calculation (PBE) on a relaxed ErCuHgSe3 crystal.

The structure belongs to space group Cmcm (No. 63); the cell edges are 3.933, 13.234 and 10.676 Å and the angles 90.00°, 90.00° and 90.00°. The asymmetric unit holds Er at (0.000, 0.000, 0.000), Cu at (0.000, 0.472, 0.250), Hg at (0.000, 0.241, 0.750), Se at (0.000, 0.091, 0.250) and Se at (0.000, 0.358, 0.071).

Its total energy is -3.918 eV/atom.

=====

VASP calculation (PBE) on a relaxed HoErCu4 crystal.

The structure belongs to space group P4/mmm (No. 123); the cell edges are 3.478, 3.478 and 8.615 Å and the angles 90.00°, 90.00° and 90.00°. The asymmetric unit holds Ho at (0.000, 0.000, 0.000), Er at (0.500, 0.500, 0.500), Cu at (0.000, 0.000, 0.327) and Cu at (0.500, 0.500, 0.175).

The value obtained for the formation energy is -0.1992 eV/atom. Its total energy is -4.201 eV/atom.

=====

VASP calculation (PBE) on a relaxed HoErCu2 crystal.

The structure belongs to space group Pmn2_1 (No. 31); the cell edges are 4.455, 7.061 and 5.326 Å and the angles 90.00°, 90.00° and 90.00°. The asymmetric unit holds Ho at (0.000, 0.068, 0.000), Er at (0.000, 0.568, 0.231), Cu at (0.000, 0.217, 0.493) and Cu at (0.000, 0.717, 0.739).

The value obtained for the formation energy is -0.2753 eV/atom. Its total energy is -4.419 eV/atom.